The following is a PBE calculation of a relaxed structure of Tm8ThBi2, from Alexandria.

Properties
- E_tot: -4.8669 eV/atom
- Total magnetization: 0.000 μB/f.u.
- SG: C2/m

abc: 4.8073 8.1580 9.2784
angles: 109.98 105.01 90.00
Positions (direct):
Tm 0.4088 0.5354 0.8176
Tm 0.6812 0.9303 0.3623
Tm 0.8529 0.7894 0.7058
Tm 0.9552 0.2510 0.9104
Tm 0.1471 0.2106 0.2942
Tm 0.3188 0.0697 0.6377
Tm 0.5912 0.4646 0.1824
Tm 0.0448 0.7490 0.0896
Th 0.5000 0.0000 0.0000
Bi 0.7850 0.3427 0.5700
Bi 0.2150 0.6573 0.4300